1.
AcTl2Ag GGA-PBE optimized geometry; ΔE_f = -184 meV/atom; DOS at the Fermi energy = 0.528 states/eV per atom; calculated density = 10.72 g/cm3; polymorph energy (0 for the lowest one) = 0.066 eV/atom
1.0
5.4607 0.0000 0.0000
2.7304 4.7291 0.0000
2.7304 1.5764 4.4586
Ac Tl Ag
1 2 1
Cartesian
0.0000 0.0000 0.0000
2.7304 1.5764 1.1147
8.1911 4.7291 3.3440
5.4607 3.1527 2.2293



2.
LiFeP GGA-PBE optimized geometry; ΔE_f = -89 meV/atom; DOS at the Fermi energy = 0.148 states/eV per atom; calculated density = 3.82 g/cm3
1.0
2.8247 0.0000 0.0000
-1.4124 2.4463 0.0000
0.0000 0.0000 5.9035
Fe Li P
1 1 1
Cartesian
0.0000 0.0000 5.6530
1.4124 0.8154 2.0281
0.0000 1.6309 4.1258



3.
Na2Pb8Au GGA-PBE optimized geometry; ΔE_f = -88 meV/atom; DOS at the Fermi energy = 0.445 states/eV per atom; calculated density = 9.66 g/cm3; polymorph energy (0 for the lowest one) = 0.000 eV/atom
1.0
4.9282 0.0000 0.0000
0.0000 4.9282 0.0000
0.0000 0.0000 13.4467
Na Pb Au
2 8 1
Cartesian
0.0000 0.0000 4.2774
0.0000 0.0000 9.1693
0.0000 2.4641 6.7233
2.4641 0.0000 6.7233
2.4641 2.4641 4.2209
2.4641 2.4641 9.2258
0.0000 2.4641 1.7890
2.4641 0.0000 1.7890
0.0000 2.4641 11.6577
2.4641 0.0000 11.6577
0.0000 0.0000 0.0000



4.
RbTa2Cl GGA-PBE optimized geometry; uncorrected formation energy = 19.9 kcal/mol of atoms; DOS at the Fermi energy = 0.989 states/eV per atom; calculated density = 6.92 g/cm3; polymorph energy (0 for the lowest one) = 0.000 eV/atom
1.0
-2.4388 3.0983 0.3259
0.2327 -0.2316 3.9428
10.5191 10.5972 1.9869
Cl Rb Ta
2 2 4
Cartesian
-1.1031 1.4334 2.1344
4.8243 5.8995 4.0321
0.0000 0.0000 0.0000
3.4886 7.5645 2.2236
1.1322 4.5598 1.1936
2.4727 2.8888 3.0014
7.0618 9.0232 3.0871
5.9592 10.4561 5.2292



5.
EuMgCuPd GGA-PBE optimized geometry; ΔE_f = -309 meV/atom; DOS at the Fermi energy = 2.846 states/eV per atom; calculated density = 7.00 g/cm3
1.0
-3.5946 -3.2972 0.0816
-0.0783 -3.6049 -3.2860
0.9264 -4.5847 1.3863
Eu Mg Cu Pd
1 1 1 1
Cartesian
0.0000 0.0000 0.0000
-1.3732 -5.7434 -0.9091
-0.6866 -2.8717 -0.4545
-2.0598 -8.6152 -1.3636



6.
AcPrYEr2 GGA-PBE optimized geometry; ΔE_f = 376 meV/atom; DOS at the Fermi energy = 1.714 states/eV per atom; calculated density = 7.08 g/cm3
1.0
-2.9401 2.1431 5.3742
-5.2993 -3.4216 -1.5347
5.8077 -5.1896 5.2467
Ac Pr Y Er
2 2 2 4
Cartesian
-2.3862 -3.3567 1.9925
-0.0455 -3.1114 7.0938
-1.1872 -5.9765 3.6931
-1.2445 -0.4916 5.3932
-3.2838 -3.5360 5.4915
0.8521 -2.9322 3.5947
-2.7878 0.2207 2.3055
-3.9815 -2.5707 -1.1531
-5.4516 -1.4992 1.5340
-1.3178 -0.8508 -0.3816



7.
Tb8Ho3Er4 GGA-PBE optimized geometry; ΔE_f = 154 meV/atom; DOS at the Fermi energy = 1.528 states/eV per atom; calculated density = 8.44 g/cm3; polymorph energy (0 for the lowest one) = 0.000 eV/atom
1.0
6.0591 0.0000 3.2678
2.1484 5.6655 3.2678
-2.5332 -1.7486 11.9482
Tb Ho Er
8 3 4
Cartesian
1.3427 0.9269 4.7616
2.4801 3.8129 6.2615
5.5237 3.8129 7.9030
4.4446 0.9671 6.2615
4.3316 2.9900 13.7222
3.1942 0.1039 12.2224
0.1506 0.1039 10.5809
1.2297 2.9498 12.2224
1.7630 -0.8743 7.6080
-1.2666 -0.8743 5.9741
-0.1924 1.9584 7.6080
0.0000 0.0000 0.0000
0.2469 0.1704 14.0447
2.8372 1.9584 9.2419
5.4274 3.7464 4.4392



8.
Ce7Si5Sb GGA-PBE optimized geometry; uncorrected formation energy = -11.3 kcal/mol of atoms; DOS at the Fermi energy = 2.302 states/eV per atom; calculated density = 6.47 g/cm3
1.0
-1.3917 5.6835 -1.1042
-5.2753 2.8311 5.1649
4.9707 5.0251 3.5441
Ce Si Sb
7 5 1
Cartesian
-1.0256 6.4151 2.2000
-0.6103 7.2451 5.9490
0.4580 10.0858 3.1682
-3.4949 9.2394 3.7935
-0.4966 3.2400 1.2466
-4.3170 5.9632 4.0225
2.5492 7.4334 2.9363
1.7671 5.1008 1.3473
2.3413 2.7560 1.8029
-3.1751 4.0425 2.1291
-2.6009 1.6977 2.5847
-1.2928 10.1136 5.5178
-1.3670 5.7327 -0.8819



9.
PuAl3Pd2 GGA-PBE optimized geometry; ΔE_f = -662 meV/atom; DOS at the Fermi energy = 2.535 states/eV per atom; calculated density = 8.26 g/cm3
1.0
-3.6616 0.8029 1.8573
-0.6033 -5.3134 1.1076
1.9254 -2.0491 4.6816
Al Pd Pu
3 2 1
Cartesian
-0.8681 -0.6231 3.2694
-2.1324 -2.2552 1.4825
-1.1697 -3.2798 3.8233
0.8814 -4.9083 3.8595
0.4407 -2.4541 1.9297
0.0000 0.0000 0.0000



10.
PmDy4PbS8 GGA-PBE optimized geometry; uncorrected formation energy = -40.7 kcal/mol of atoms; DOS at the Fermi energy = 0.286 states/eV per atom; calculated density = 5.39 g/cm3
1.0
-0.5240 8.0812 -0.8311
-6.8173 3.8819 2.1740
0.0014 4.7890 6.6951
Pm Dy Pb S
1 4 1 8
Cartesian
-0.0135 4.7841 6.6569
-4.5935 8.0738 1.6625
-3.3719 4.3379 4.4354
-0.2697 6.4078 2.9541
-0.0115 2.4244 3.3638
-2.7414 8.6799 6.3881
-5.4975 8.5016 6.3922
-2.0587 10.7962 4.7501
-1.7724 6.3805 5.2043
-1.7258 4.2237 2.2879
-1.9568 8.2419 1.6351
-5.2581 6.0391 3.2115
-5.5330 10.2783 2.7755
-5.5624 12.5452 5.8816



11.
HgS3N GGA-PBE optimized geometry; uncorrected formation energy = 7.1 kcal/mol of atoms; DOS at the Fermi energy = 0.000 states/eV per atom; calculated density = 3.37 g/cm3; polymorph energy (0 for the lowest one) = 0.000 eV/atom
1.0
16.3997 -5.1670 -2.6701
-5.3999 8.1908 0.1008
-6.7751 0.2081 7.0976
Hg S N
4 12 4
Cartesian
6.7240 3.2897 -1.0009
-2.4993 -0.0578 5.5292
5.8111 -2.0230 3.6504
-1.5863 5.2550 0.8779
6.5807 -0.2971 -0.7743
6.1329 2.6323 2.4848
-2.3559 3.5291 5.3026
-1.9082 0.5996 2.0435
10.6524 -2.9797 1.1967
1.3534 1.1937 4.1328
-6.4277 6.2116 3.3316
2.8714 2.0382 0.3955
8.8140 -3.2591 0.4189
3.2081 1.5660 4.8290
-4.5893 6.4911 4.1093
1.0167 1.6660 -0.3007
9.8471 2.1013 -0.7212
3.4282 3.4821 -0.4102
-5.6224 1.1306 5.2495
0.7965 -0.2501 4.9385



12.
OsRh2Au GGA-PBE optimized geometry; ΔE_f = 305 meV/atom; DOS at the Fermi energy = 1.591 states/eV per atom; calculated density = 16.38 g/cm3; polymorph energy (0 for the lowest one) = 0.239 eV/atom
1.0
0.2907 4.2607 -2.1605
-1.8842 0.6062 4.3576
2.5416 0.3586 1.0491
Os Rh Au
1 2 1
Cartesian
0.4740 2.6127 1.6230
0.1453 2.1303 -1.0803
-0.9421 0.3031 2.1788
1.2708 0.1793 0.5245